Entry 1:
A geometry-optimized Pm2Pr3Cd4 structure. Source: Alexandria, functional PBE.

Cell and atoms, written as POSCAR:
```
Pm2Pr3Cd4
1.0
3.428 -9.774 0.000
3.428 9.774 0.000
0.000 0.000 8.313
Pm Pr Cd
4 6 8
Cartesian
3.428 8.026 7.499
3.428 1.748 3.342
3.428 -1.748 4.971
3.428 -8.026 0.814
0.000 0.000 4.157
1.714 4.842 6.235
1.714 -4.842 2.078
3.428 0.000 0.000
5.142 4.842 6.235
5.142 -4.842 2.078
3.428 6.697 4.275
1.714 1.540 6.235
1.714 -1.540 2.078
3.428 3.077 0.119
3.428 -3.077 8.194
5.142 1.540 6.235
5.142 -1.540 2.078
3.428 -6.697 4.038
```

=====

Entry 2:
A geometry-optimized TaAgAs2 structure. Source: Alexandria, functional PBE.

Cell and atoms, written as POSCAR:
```
TaAgAs2
1.0
0.000 3.293 3.293
3.293 0.000 3.293
3.293 3.293 0.000
Ta Ag As
1 1 2
Cartesian
0.000 0.000 0.000
3.293 3.293 3.293
1.647 1.647 1.647
4.940 4.940 4.940
```

=====

Entry 3:
A geometry-optimized LaAg2Au structure. Source: Alexandria, functional PBE.

Results
* energy above the most stable polymorph in this dataset: 0.000 eV per atom

Cell and atoms, written as POSCAR:
```
LaAg2Au
1.0
7.415 0.000 0.000
0.000 2.301 5.371
0.000 -2.301 5.371
La Ag Au
2 4 2
Cartesian
0.000 0.000 0.000
3.707 0.000 1.835
0.000 0.000 3.160
2.279 0.000 4.891
3.707 0.000 9.422
5.136 0.000 4.891
1.458 0.000 7.596
5.956 0.000 7.596
```

=====

E_form values, unit eV per formula unit, following the record order: -1.2 1.0 -1.7.